(1)
# CaPmCuIr

CaPmCuIr after structural relaxation (PBE-GGA, Alexandria).

Results
Final energy   -5.261 eV per atom
ρ   8.53 g/cm3
Energy relative to the lowest polymorph listed for this composition   0.297 eV per formula unit
Magnetization   0.000 μB/atom
Formation energy from the elements   -1.34 eV/f.u.

a = 7.0015 Å, b = 7.0015 Å, c = 7.0015 Å
α = 90.00°, β = 90.00°, γ = 90.00°
Space group F-43m (No. 216)
Inequivalent atoms, fractional coordinates:
Ca1 0.0000 0.0000 0.0000 [4 per cell]
Pm1 0.0000 0.0000 0.5000 [4 per cell]
Cu1 0.2500 0.2500 0.7500 [4 per cell]
Ir1 0.2500 0.2500 0.2500 [4 per cell]

(2)
# FeAgPd4

FeAgPd4 after structural relaxation (PBE-GGA, Alexandria).

Results
Final energy   -5.401 eV per atom
ρ   10.65 g/cm3
Energy relative to the lowest polymorph listed for this composition   0.000 eV per formula unit
Magnetization   0.670 μB/atom
Formation energy from the elements   -0.32 eV/f.u.

a = 2.7936 Å, b = 3.8865 Å, c = 8.4644 Å
α = 90.00°, β = 90.00°, γ = 90.00°
Space group Pmmm (No. 47)
Inequivalent atoms, fractional coordinates:
Fe1 0.0000 0.0000 0.0000 [1 per cell]
Ag1 0.5000 0.5000 0.5000 [1 per cell]
Pd1 0.0000 0.0000 0.3230 [2 per cell]
Pd2 0.5000 0.5000 0.1567 [2 per cell]

(3)
# DyHo5Ir4

DyHo5Ir4 after structural relaxation (PBE-GGA, Alexandria).

Results
Final energy   -6.970 eV per atom
ρ   11.43 g/cm3
Magnetization   0.000 μB/atom
Formation energy from the elements   -6.76 eV/f.u.

a = 17.9334 Å, b = 4.2526 Å, c = 7.3130 Å
α = 90.00°, β = 113.83°, γ = 90.00°
Space group C2/m (No. 12)
Inequivalent atoms, fractional coordinates:
Dy1 0.0000 0.0000 0.0000 [2 per cell]
Ho1 0.0000 0.0000 0.5000 [2 per cell]
Ho2 0.1657 0.5000 0.4088 [4 per cell]
Ho3 0.1657 0.5000 0.9235 [4 per cell]
Ir1 0.9999 0.5000 0.2582 [4 per cell]
Ir2 0.1999 0.0000 0.2002 [4 per cell]

(4)
# Ag2HgSI

Ag2HgSI after structural relaxation (PBE-GGA, Alexandria).

Results
Final energy   -2.326 eV per atom
ρ   7.11 g/cm3
Magnetization   0.000 μB/atom

a = 5.0068 Å, b = 5.0068 Å, c = 5.3577 Å
α = 90.00°, β = 90.00°, γ = 90.00°
Space group P4/mmm (No. 123)
Inequivalent atoms, fractional coordinates:
Ag1 0.0000 0.5000 0.0000 [2 per cell]
Hg1 0.0000 0.0000 0.5000 [1 per cell]
S1 0.0000 0.0000 0.0000 [1 per cell]
I1 0.5000 0.5000 0.5000 [1 per cell]

(5)
# Zr3H2

Zr3H2 after structural relaxation (PBE-GGA, Alexandria).

Results
Final energy   -6.766 eV per atom
ρ   6.03 g/cm3
Magnetization   0.000 μB/atom

a = 3.1945 Å, b = 4.8445 Å, c = 5.6721 Å
α = 115.17°, β = 105.48°, γ = 90.06°
Space group P-1 (No. 2)
Inequivalent atoms, fractional coordinates:
Zr1 0.0000 0.0000 0.0000 [1 per cell]
Zr2 0.3230 0.3235 0.6469 [2 per cell]
H1 0.4994 0.7346 0.9997 [2 per cell]

(6)
# NaSe2NCl

NaSe2NCl after structural relaxation (PBE-GGA, Alexandria).

Results
Final energy   -2.715 eV per atom
ρ   3.35 g/cm3
Energy relative to the lowest polymorph listed for this composition   0.000 eV per formula unit
Magnetization   0.000 μB/atom

a = 5.9301 Å, b = 5.9301 Å, c = 3.2457 Å
α = 90.00°, β = 90.00°, γ = 90.00°
Space group P4/mmm (No. 123)
Inequivalent atoms, fractional coordinates:
Na1 0.0000 0.0000 0.0000 [1 per cell]
Se1 0.0000 0.5000 0.5000 [2 per cell]
N1 0.5000 0.5000 0.0000 [1 per cell]
Cl1 0.5000 0.5000 0.5000 [1 per cell]

(7)
# FeTcSe2

FeTcSe2 after structural relaxation (PBE-GGA, Alexandria).

Results
Final energy   -6.485 eV per atom
ρ   5.94 g/cm3
Energy relative to the lowest polymorph listed for this composition   0.794 eV per formula unit
Magnetization   0.863 μB/atom

a = 3.5117 Å, b = 3.8073 Å, c = 13.0341 Å
α = 90.00°, β = 90.00°, γ = 90.00°
Space group Immm (No. 71)
Inequivalent atoms, fractional coordinates:
Fe1 0.0000 0.0000 0.0000 [2 per cell]
Tc1 0.0000 0.0000 0.5000 [2 per cell]
Se1 0.0000 0.5000 0.3685 [4 per cell]

(8)
# CaHg8Pb2

CaHg8Pb2 after structural relaxation (PBE-GGA, Alexandria).

Results
Final energy   -1.167 eV per atom
ρ   11.27 g/cm3
Magnetization   0.000 μB/atom
Formation energy from the elements   -1.00 eV/f.u.

a = 19.1059 Å, b = 6.0758 Å, c = 5.2898 Å
α = 90.00°, β = 98.97°, γ = 90.00°
Space group C2/m (No. 12)
Inequivalent atoms, fractional coordinates:
Ca1 0.0000 0.0000 0.0000 [2 per cell]
Hg1 0.0804 0.5000 0.0439 [4 per cell]
Hg2 0.0862 0.2446 0.5534 [8 per cell]
Hg3 0.1746 0.0000 0.0881 [4 per cell]
Pb1 0.2364 0.5000 0.3551 [4 per cell]

Question: What is the formula in the fifth record?
Answer: Zr3H2